Material: LiScMn2
Method: DFT, GGA-PBE
State: relaxed

Lattice parameters (Å, degrees): 4.1396 4.1396 5.5475 83.31 83.31 40.07
Site moments in Bohr magnetons follow the coordinates.
Fractional positions:
Li1 0.2593 0.2593 0.2122  0.01
Mn1 0.0071 0.0071 0.9588  2.09
Mn2 0.7430 0.7430 0.8163  -1.85
Sc1 0.4906 0.4906 0.5127  0.13

Results
crystal system	monoclinic
symmetry	Cm (8)
excess energy over the best structure of this formula in the dataset	148	meV per atom
DOS(E_F)	3.6	states/eV/f.u.
calculated total energy	-25.34	eV/cell
formation enthalpy at 0 K	120	kJ/mol of formula units